[1]
The following is a DFT calculation (GGA-PBE) of a geometry-optimized Zr5In structure.

Computed properties:
Energy of formation from the pure elements ... -9 kJ/mol of atoms
Calculated density ... 6.8 g/cm³
Total magnetization ... 0.0 Bohr magnetons per cell
Raw total energy ... -7.676 eV/atom

```
Zr5In
1.0
5.869 -1.594 0.000
5.869 1.594 0.000
-2.017 0.000 7.397
Zr In
5 1
direct
0.000 0.000 0.000 Zr
0.043 0.043 0.623 Zr
0.390 0.390 0.285 Zr
0.661 0.661 0.343 Zr
0.724 0.724 0.959 Zr
0.320 0.320 0.668 In
```



[2]
The following is a DFT calculation (GGA-PBE) of a geometry-optimized BeMoCl2 structure.

Computed properties:
Calculated density ... 5.0 g/cm³
Raw formation energy ... 727.5 meV per atom
Total magnetization ... 0.8 Bohr magnetons per cell
Raw total energy ... -3.835 eV/atom
Energy relative to the lowest polymorph listed for this composition ... 1.032 eV per atom

```
BeMoCl2
1.0
0.000 3.081 3.081
3.081 0.000 3.081
3.081 3.081 0.000
Be Mo Cl
1 1 2
direct
0.000 0.000 0.000 Be
0.500 0.500 0.500 Mo
0.250 0.250 0.250 Cl
0.750 0.750 0.750 Cl
```



[3]
The following is a DFT calculation (GGA-PBE) of a geometry-optimized ThGa3Cu2 structure.

Computed properties:
Energy of formation from the pure elements ... -37 kJ/mol of atoms
Calculated density ... 8.9 g/cm³
Total magnetization ... 0.0 Bohr magnetons per cell
Raw total energy ... -4.502 eV/atom

```
ThGa3Cu2
1.0
8.112 -2.082 0.000
8.112 2.082 0.000
-2.507 0.000 9.430
Th Ga Cu
3 9 6
direct
0.000 0.000 0.000 Th
0.155 0.155 0.705 Th
0.845 0.845 0.295 Th
0.049 0.049 0.358 Ga
0.214 0.214 0.364 Ga
0.348 0.348 0.056 Ga
0.366 0.366 0.807 Ga
0.500 0.500 0.500 Ga
0.634 0.634 0.193 Ga
0.652 0.652 0.944 Ga
0.786 0.786 0.636 Ga
0.951 0.951 0.642 Ga
0.203 0.203 0.093 Cu
0.352 0.352 0.544 Cu
0.486 0.486 0.233 Cu
0.514 0.514 0.767 Cu
0.648 0.648 0.456 Cu
0.797 0.797 0.907 Cu
```